No. 1
VASP calculation (PBE-GGA) on crystalline Pm2YIr at its relaxed geometry.

Raw total energy (eV per cell): -25.9
N(E_F) (states/eV/cell): 5.28
Distance to the lowest polymorph of the same formula (meV per atom): 233
ΔH_f (0 K) (eV per atom): -0.266
Space-group type: P4/mmm, No. 123
M_tot (μB/f.u.): 0.7

Cell lengths 3.5944, 3.5944, 8.8767 Å; angles 90.00, 90.00, 90.00 degrees
With the nearest neighbours (Å) after each atom.
Fractional positions:
Ir (0.5000, 0.5000, 0.0000)  8 Pm 3.03
Pm (0.0000, 0.0000, 0.8138)  4 Ir 3.03, 1 Pm 3.31
Y (0.5000, 0.5000, 0.5000)  4 Y 3.59, 8 Pm 3.77
Pm (0.0000, 0.0000, 0.1862)  4 Ir 3.03, 1 Pm 3.31

=====

No. 2
VASP calculation (PBE-GGA) on crystalline Pm3YIr2 at its relaxed geometry.

Raw total energy (eV per cell): -83.8
N(E_F) (states/eV/cell): 9.57
Distance to the lowest polymorph of the same formula (meV per atom): 0
ΔH_f (0 K) (eV per atom): -0.578
Space-group type: C2/m, No. 12
M_tot (μB/f.u.): 0.0

Cell lengths 4.3778, 8.5191, 10.6390 Å; angles 68.26, 78.13, 75.11 degrees
With the nearest neighbours (Å) after each atom.
Fractional positions:
Ir (0.8620, 0.4362, 0.8397)  2 Y 2.79, 4 Pm 2.88-2.90
Ir (0.6170, 0.1849, 0.5812)  2 Y 2.85-3.06, 5 Pm 2.87-2.92
Pm (0.0522, 0.1173, 0.7783)  3 Ir 2.90-2.92
Pm (0.9478, 0.8827, 0.2217)  3 Ir 2.90-2.92
Pm (0.6669, 0.6924, 0.9737)  3 Ir 2.88-2.89
Pm (0.7897, 0.8260, 0.5946)  3 Ir 2.87-2.91
Ir (0.1380, 0.5638, 0.1603)  2 Y 2.79, 4 Pm 2.88-2.90
Pm (0.2103, 0.1740, 0.4054)  3 Ir 2.87-2.91
Y (0.5729, 0.5188, 0.3353)  4 Ir 2.79-3.06
Y (0.4271, 0.4812, 0.6647)  4 Ir 2.79-3.06
Ir (0.3830, 0.8151, 0.4188)  2 Y 2.85-3.06, 5 Pm 2.87-2.92
Pm (0.3331, 0.3076, 0.0263)  3 Ir 2.88-2.89

=====

No. 3
VASP calculation (PBE-GGA) on crystalline PmY3Ir2 at its relaxed geometry.

Raw total energy (eV per cell): -91.8
N(E_F) (states/eV/cell): 12.41
Distance to the lowest polymorph of the same formula (meV per atom): 0
ΔH_f (0 K) (eV per atom): -0.672
Space-group type: Pmc2_1, No. 26
M_tot (μB/f.u.): 0.0

Cell lengths 4.6855, 7.2803, 8.8133 Å; angles 90.00, 90.00, 90.00 degrees
With the nearest neighbours (Å) after each atom.
Fractional positions:
Ir (0.5000, 0.2449, 0.1560)  1 Pm 2.84, 6 Y 2.89-3.06
Y (0.5000, 0.6416, 0.1666)  4 Ir 2.89-2.94
Y (0.0000, 0.9891, 0.0860)  3 Ir 2.81-3.06
Ir (0.5000, 0.7449, 0.8440)  1 Pm 2.84, 6 Y 2.89-3.06
Ir (0.0000, 0.7545, 0.3398)  5 Y 2.81-3.03, 2 Pm 3.06
Y (0.0000, 0.3596, 0.3279)  4 Ir 2.88-3.03
Y (0.0000, 0.4891, 0.9140)  3 Ir 2.81-3.06
Y (0.0000, 0.8596, 0.6721)  4 Ir 2.88-3.03
Pm (0.5000, 0.5104, 0.5858)  3 Ir 2.84-3.06
Ir (0.0000, 0.2545, 0.6602)  5 Y 2.81-3.03, 2 Pm 3.06
Y (0.5000, 0.1416, 0.8334)  4 Ir 2.89-2.94
Pm (0.5000, 0.0104, 0.4142)  3 Ir 2.84-3.06

=====

No. 4
VASP calculation (PBE-GGA) on crystalline PmY2Ir2 at its relaxed geometry.

Raw total energy (eV per cell): -38.9
N(E_F) (states/eV/cell): 3.33
Distance to the lowest polymorph of the same formula (meV per atom): 0
ΔH_f (0 K) (eV per atom): -0.702
Space-group type: P-3m1, No. 164
M_tot (μB/f.u.): 0.0

Cell lengths 4.8321, 4.8321, 6.0682 Å; angles 90.01, 90.01, 59.99 degrees
With the nearest neighbours (Å) after each atom.
Fractional positions:
Y (0.1667, 0.6667, 0.3386)  5 Ir 2.95-3.12
Pm (0.5000, 0.0000, 0.0000)  6 Ir 2.99
Y (0.8333, 0.3333, 0.6614)  5 Ir 2.95-3.12
Ir (0.1667, 0.6667, 0.8245)  5 Y 2.95-3.12, 3 Pm 2.99
Ir (0.8333, 0.3333, 0.1755)  5 Y 2.95-3.12, 3 Pm 2.99

=====

No. 5
VASP calculation (PBE-GGA) on crystalline Pm3YIr2 at its relaxed geometry.

Raw total energy (eV per cell): -83.5
N(E_F) (states/eV/cell): 11.45
Distance to the lowest polymorph of the same formula (meV per atom): 30
ΔH_f (0 K) (eV per atom): -0.548
Space-group type: Ibam, No. 72
M_tot (μB/f.u.): 0.0

Cell lengths 6.9039, 7.2203, 8.5256 Å; angles 115.05, 113.88, 90.00 degrees
With the nearest neighbours (Å) after each atom.
Fractional positions:
Ir (0.5783, 0.3629, 0.7258)  1 Y 2.73, 6 Pm 2.93-3.01
Ir (0.8525, 0.1371, 0.2742)  1 Y 2.73, 6 Pm 2.93-3.01
Pm (0.2348, 0.4848, 0.4696)  4 Ir 2.93-2.99
Pm (0.5000, 0.7500, 0.0000)  4 Ir 3.01
Y (0.0000, 0.5000, 0.0000)  2 Ir 2.73
Pm (0.7652, 0.5152, 0.5304)  4 Ir 2.93-2.99
Y (0.0000, 0.0000, 0.0000)  2 Ir 2.73
Ir (0.1475, 0.8629, 0.7258)  1 Y 2.73, 6 Pm 2.93-3.01
Pm (0.7652, 0.0152, 0.5304)  4 Ir 2.93-2.99
Ir (0.4217, 0.6371, 0.2742)  1 Y 2.73, 6 Pm 2.93-3.01
Pm (0.5000, 0.2500, 0.0000)  4 Ir 3.01
Pm (0.2348, 0.9848, 0.4696)  4 Ir 2.93-2.99

=====

No. 6
VASP calculation (PBE-GGA) on crystalline PmY3Ir2 at its relaxed geometry.

Raw total energy (eV per cell): -90.8
N(E_F) (states/eV/cell): 10.80
Distance to the lowest polymorph of the same formula (meV per atom): 85
ΔH_f (0 K) (eV per atom): -0.587
Space-group type: Ibam, No. 72
M_tot (μB/f.u.): 0.0

Cell lengths 6.8463, 7.0677, 8.4422 Å; angles 114.75, 113.92, 90.00 degrees
With the nearest neighbours (Å) after each atom.
Fractional positions:
Y (0.5000, 0.7500, 0.0000)  4 Ir 2.97
Y (0.2378, 0.4878, 0.4757)  4 Ir 2.85-2.98
Y (0.5000, 0.2500, 0.0000)  4 Ir 2.97
Ir (0.8510, 0.1382, 0.2764)  1 Pm 2.73, 6 Y 2.85-2.98
Pm (0.0000, 0.0000, 0.0000)  2 Ir 2.73
Y (0.7622, 0.5122, 0.5243)  4 Ir 2.85-2.98
Ir (0.5747, 0.3618, 0.7236)  1 Pm 2.73, 6 Y 2.85-2.98
Ir (0.1490, 0.8618, 0.7236)  1 Pm 2.73, 6 Y 2.85-2.98
Y (0.2378, 0.9878, 0.4757)  4 Ir 2.85-2.98
Ir (0.4253, 0.6382, 0.2764)  1 Pm 2.73, 6 Y 2.85-2.98
Y (0.7622, 0.0122, 0.5243)  4 Ir 2.85-2.98
Pm (0.0000, 0.5000, 0.0000)  2 Ir 2.73

=====

No. 7
VASP calculation (PBE-GGA) on crystalline Pm4YIr3 at its relaxed geometry.

Raw total energy (eV per cell): -113.9
N(E_F) (states/eV/cell): 11.40
ΔH_f (0 K) (eV per atom): -0.610
Space-group type: I4/mcm, No. 140
M_tot (μB/f.u.): 0.0

Cell lengths 6.1832, 8.5501, 8.5501 Å; angles 82.49, 68.80, 68.80 degrees
With the nearest neighbours (Å) after each atom.
Fractional positions:
Pm (0.9170, 0.8723, 0.2938)  4 Ir 2.99-3.07, 1 Pm 3.29
Ir (0.1526, 0.5000, 0.1948)  2 Y 2.88, 4 Pm 3.05-3.07
Pm (0.7892, 0.2938, 0.1277)  4 Ir 2.99-3.07, 1 Pm 3.29
Pm (0.4170, 0.2938, 0.8723)  4 Ir 2.99-3.07, 1 Pm 3.29
Pm (0.2892, 0.1277, 0.2938)  4 Ir 2.99-3.07, 1 Pm 3.29
Pm (0.0830, 0.1277, 0.7062)  4 Ir 2.99-3.07, 1 Pm 3.29
Y (0.7500, 0.5000, 0.5000)  4 Ir 2.88, 2 Y 3.09
Pm (0.7108, 0.8723, 0.7062)  4 Ir 2.99-3.07, 1 Pm 3.29
Ir (0.8474, 0.5000, 0.8052)  2 Y 2.88, 4 Pm 3.05-3.07
Y (0.2500, 0.5000, 0.5000)  4 Ir 2.88, 2 Y 3.09
Pm (0.5830, 0.7062, 0.1277)  4 Ir 2.99-3.07, 1 Pm 3.29
Ir (0.7500, 0.0000, 0.0000)  8 Pm 2.99, 2 Ir 3.09
Ir (0.3474, 0.8052, 0.5000)  2 Y 2.88, 4 Pm 3.05-3.07
Ir (0.2500, 0.0000, 0.0000)  8 Pm 2.99, 2 Ir 3.09
Pm (0.2108, 0.7062, 0.8723)  4 Ir 2.99-3.07, 1 Pm 3.29
Ir (0.6526, 0.1948, 0.5000)  2 Y 2.88, 4 Pm 3.05-3.07

=====

No. 8
VASP calculation (PBE-GGA) on crystalline PmY2Ir3 at its relaxed geometry.

Raw total energy (eV per cell): -48.5
N(E_F) (states/eV/cell): 2.99
ΔH_f (0 K) (eV per atom): -0.715
Space-group type: P-3m1, No. 164
M_tot (μB/f.u.): 0.0

Cell lengths 4.9006, 4.9006, 6.0073 Å; angles 90.00, 90.00, 120.00 degrees
With the nearest neighbours (Å) after each atom.
Fractional positions:
Y (0.3333, 0.6667, 0.6649)  8 Ir 2.96-3.05
Y (0.6667, 0.3333, 0.3351)  8 Ir 2.96-3.05
Ir (0.6667, 0.3333, 0.8278)  5 Y 2.96-3.05, 3 Pm 3.01
Ir (0.3333, 0.6667, 0.1722)  5 Y 2.96-3.05, 3 Pm 3.01
Pm (0.0000, 0.0000, 0.0000)  8 Ir 3.00-3.01
Ir (0.0000, 0.0000, 0.5000)  6 Y 3.00, 2 Pm 3.00

=====

No. 9
VASP calculation (PBE-GGA) on crystalline PmYZnIr at its relaxed geometry.

Raw total energy (eV per cell): -23.6
N(E_F) (states/eV/cell): 3.12
Distance to the lowest polymorph of the same formula (meV per atom): 0
ΔH_f (0 K) (eV per atom): -0.566
Space-group type: Amm2, No. 38
M_tot (μB/f.u.): 0.0

Cell lengths 3.9723, 4.3691, 5.7412 Å; angles 90.00, 110.24, 90.00 degrees
With the nearest neighbours (Å) after each atom.
Fractional positions:
Y (0.1385, 0.0000, 0.2770)  3 Zn 2.99-3.15, 4 Ir 3.04
Zn (0.4312, 0.0000, 0.8623)  2 Ir 2.66
Pm (0.8585, 0.5000, 0.7169)  3 Ir 3.04-3.09, 4 Zn 3.05
Ir (0.5719, 0.5000, 0.1437)  2 Zn 2.66

=====

No. 10
VASP calculation (PBE-GGA) on crystalline PmYZnIr at its relaxed geometry.

Raw total energy (eV per cell): -23.6
N(E_F) (states/eV/cell): 2.75
Distance to the lowest polymorph of the same formula (meV per atom): 6
ΔH_f (0 K) (eV per atom): -0.560
Space-group type: F-43m, No. 216
M_tot (μB/f.u.): 0.0

Cell lengths 5.0043, 5.0043, 5.0043 Å; angles 60.00, 60.00, 60.00 degrees
With the nearest neighbours (Å) after each atom.
Fractional positions:
Zn (0.0000, 0.0000, 0.0000)  4 Y 3.06, 4 Pm 3.06
Pm (0.2500, 0.2500, 0.2500)  4 Ir 3.06, 4 Zn 3.06
Y (0.7500, 0.7500, 0.7500)  4 Ir 3.06, 4 Zn 3.06
Ir (0.5000, 0.5000, 0.5000)  4 Pm 3.06, 4 Y 3.06

=====

No. 11
VASP calculation (PBE-GGA) on crystalline Pm3Zn2Ir at its relaxed geometry.

Raw total energy (eV per cell): -113.4
N(E_F) (states/eV/cell): 22.70
Distance to the lowest polymorph of the same formula (meV per atom): 0
ΔH_f (0 K) (eV per atom): -0.449
Space-group type: Pnma, No. 62
M_tot (μB/f.u.): 0.0

Cell lengths 4.4933, 10.7898, 12.4171 Å; angles 90.00, 90.00, 90.00 degrees
With the nearest neighbours (Å) after each atom.
Fractional positions:
Ir (0.7500, 0.6315, 0.3816)  3 Zn 2.63-2.74, 2 Pm 2.86-2.94
Zn (0.2500, 0.7950, 0.9913)  2 Ir 2.74, 2 Pm 3.03
Zn (0.2500, 0.0048, 0.2989)  1 Ir 2.63
Pm (0.2500, 0.0595, 0.8902)  3 Ir 2.94-3.05, 3 Zn 3.11-3.12
Pm (0.7500, 0.6140, 0.9447)  1 Ir 2.86, 4 Zn 3.03-3.16
Ir (0.2500, 0.3685, 0.6184)  3 Zn 2.63-2.74, 2 Pm 2.86-2.94
Pm (0.7500, 0.2898, 0.7618)  2 Ir 2.99, 5 Zn 3.14-3.27
Pm (0.2500, 0.4405, 0.3902)  3 Ir 2.94-3.05, 3 Zn 3.11-3.12
Zn (0.7500, 0.5048, 0.2011)  1 Ir 2.63
Pm (0.7500, 0.8860, 0.4447)  1 Ir 2.86, 4 Zn 3.03-3.16
Pm (0.2500, 0.3860, 0.0553)  1 Ir 2.86, 4 Zn 3.03-3.16
Zn (0.2500, 0.7050, 0.4913)  2 Ir 2.74, 2 Pm 3.03
Zn (0.7500, 0.2950, 0.5087)  2 Ir 2.74, 2 Pm 3.03
Pm (0.7500, 0.5595, 0.6098)  3 Ir 2.94-3.05, 3 Zn 3.11-3.12
Zn (0.2500, 0.4952, 0.7989)  1 Ir 2.63
Pm (0.2500, 0.1140, 0.5553)  1 Ir 2.86, 4 Zn 3.03-3.16
Pm (0.2500, 0.7898, 0.7382)  2 Ir 2.99, 5 Zn 3.14-3.27
Ir (0.7500, 0.8685, 0.8816)  3 Zn 2.63-2.74, 2 Pm 2.86-2.94
Pm (0.7500, 0.2102, 0.2618)  2 Ir 2.99, 5 Zn 3.14-3.27
Ir (0.2500, 0.1315, 0.1184)  3 Zn 2.63-2.74, 2 Pm 2.86-2.94
Zn (0.7500, 0.2050, 0.0087)  2 Ir 2.74, 2 Pm 3.03
Pm (0.7500, 0.9405, 0.1098)  3 Ir 2.94-3.05, 3 Zn 3.11-3.12
Pm (0.2500, 0.7102, 0.2382)  2 Ir 2.99, 5 Zn 3.14-3.27
Zn (0.7500, 0.9952, 0.7011)  1 Ir 2.63

=====

No. 12
VASP calculation (PBE-GGA) on crystalline Pm12ZnIr7 at its relaxed geometry.

Raw total energy (eV per cell): -130.6
N(E_F) (states/eV/cell): 12.51
ΔH_f (0 K) (eV per atom): -0.515
Space-group type: R-3, No. 148
M_tot (μB/f.u.): 0.0

Cell lengths 9.1973, 9.1973, 9.1973 Å; angles 110.64, 110.64, 110.64 degrees
With the nearest neighbours (Å) after each atom.
Fractional positions:
Ir (0.2692, 0.0338, 0.9369)  1 Zn 2.68, 5 Pm 2.82-2.94, 2 Ir 2.93
Pm (0.7463, 0.8886, 0.3432)  3 Ir 2.82-2.88
Ir (0.7308, 0.9662, 0.0631)  1 Zn 2.68, 5 Pm 2.82-2.94, 2 Ir 2.93
Pm (0.1159, 0.3143, 0.3940)  4 Ir 2.91-3.10, 1 Zn 3.22
Zn (0.0000, 0.0000, 0.0000)  6 Ir 2.68
Ir (0.0631, 0.7308, 0.9662)  1 Zn 2.68, 5 Pm 2.82-2.94, 2 Ir 2.93
Pm (0.3940, 0.1159, 0.3143)  4 Ir 2.91-3.10, 1 Zn 3.22
Ir (0.0338, 0.9369, 0.2692)  1 Zn 2.68, 5 Pm 2.82-2.94, 2 Ir 2.93
Ir (0.9369, 0.2692, 0.0338)  1 Zn 2.68, 5 Pm 2.82-2.94, 2 Ir 2.93
Pm (0.6060, 0.8841, 0.6857)  4 Ir 2.91-3.10, 1 Zn 3.22
Pm (0.2537, 0.1114, 0.6568)  3 Ir 2.82-2.88
Pm (0.3432, 0.7463, 0.8886)  3 Ir 2.82-2.88
Pm (0.8841, 0.6857, 0.6060)  4 Ir 2.91-3.10, 1 Zn 3.22
Ir (0.5000, 0.5000, 0.5000)  6 Pm 2.91
Pm (0.6857, 0.6060, 0.8841)  4 Ir 2.91-3.10, 1 Zn 3.22
Pm (0.8886, 0.3432, 0.7463)  3 Ir 2.82-2.88
Pm (0.3143, 0.3940, 0.1159)  4 Ir 2.91-3.10, 1 Zn 3.22
Pm (0.1114, 0.6568, 0.2537)  3 Ir 2.82-2.88
Ir (0.9662, 0.0631, 0.7308)  1 Zn 2.68, 5 Pm 2.82-2.94, 2 Ir 2.93
Pm (0.6568, 0.2537, 0.1114)  3 Ir 2.82-2.88